5
Lattice="-1.8402 4.1343 1.1273 -3.4869 -0.2882 -4.6350 -3.2437 -2.1455 2.5737" Properties=species:S:1:pos:R:3 comment="GGA+U Ca2YCoF, optimized geometry" total_energy_ev_per_cell=-20.853 dos_at_fermi_per_ev_cell=3.181 volume_a3_per_fu=126 pbc="T T T"
Ca -1.6219 -1.0728 1.2868
Ca -0.9201 2.0671 0.5636
Y -4.2854 0.8502 -0.4670
F 0.0000 0.0000 0.0000
Co -1.7435 -0.1441 -2.3175